Entry 1:
Ho3Cd3Pt2: optimized geometry, GGA-PBE.

```
Ho3Cd3Pt2
1.0
7.623 0.000 0.000
-3.812 6.602 0.000
0.000 0.000 3.667
Ho Cd Pt
3 3 2
Direct
0.000 0.423 0.000
0.423 0.000 0.000
0.577 0.577 0.000
0.000 0.774 0.500
0.226 0.226 0.500
0.774 0.000 0.500
0.333 0.667 0.500
0.667 0.333 0.500
```

Summary:
- Size of the total moment: 0.0 Bohr magnetons per cell
- ΔE_f: -0.810 eV/atom
- E: -35.04 eV for the cell shown

Entry 2:
Ho3Cd2Pt: optimized geometry, GGA-PBE.

```
Ho3Cd2Pt
1.0
7.582 -2.944 0.000
7.582 2.944 0.000
-1.926 0.000 7.408
Ho Cd Pt
6 4 2
Direct
0.001 0.999 0.750
0.368 0.368 0.434
0.368 0.368 0.934
0.632 0.632 0.066
0.632 0.632 0.566
0.999 0.001 0.250
0.192 0.192 0.097
0.192 0.192 0.597
0.808 0.808 0.403
0.808 0.808 0.903
0.499 0.501 0.250
0.501 0.499 0.750
```

Summary:
- Size of the total moment: 0.0 Bohr magnetons per cell
- ΔE_f: -0.466 eV/atom
- Polymorph energy (0 for the lowest one): 0.145 eV/atom
- E: -48.80 eV for the cell shown